1.
DFT (PBE-GGA) results for crystalline CdNi2Ru at its relaxed geometry.

abc: 4.663 4.663 4.707
angles: 101.16 101.16 33.55
Sites, in units of the cell vectors:
Cd 0.000 0.000 0.000
Ni 0.243 0.243 0.767
Ni 0.507 0.507 0.505
Ru 0.766 0.766 0.326

Properties
Its volume is 13.8 Å³ per atom. For the density, the calculation gives 9.92 g/cm3. The density of states at the Fermi level is 4.48 states/eV/f.u. As for the final energy: -5.225 eV/atom. For the calculated formation energy, the calculation gives 4.92 kcal/mol of atoms.

2.
DFT (PBE-GGA) results for crystalline CdNi2Ru at its relaxed geometry.

abc: 4.610 4.610 2.688
angles: 90.00 90.00 105.99
Sites, in units of the cell vectors:
Cd 0.000 0.000 0.000
Ni 0.000 0.500 0.500
Ni 0.500 0.000 0.500
Ru 0.500 0.500 0.000

Properties
Its volume is 13.7 Å³ per atom. For the density, the calculation gives 10.01 g/cm3. The density of states at the Fermi level is 5.42 states/eV/f.u. As for the final energy: -5.208 eV/atom. For the calculated formation energy, the calculation gives 5.32 kcal/mol of atoms.

3.
DFT (PBE-GGA) results for crystalline Cd3NiRu at its relaxed geometry.

abc: 4.774 4.774 4.774
angles: 90.00 90.00 90.00
Sites, in units of the cell vectors:
Cd 0.000 0.000 0.500
Cd 0.000 0.500 0.000
Cd 0.500 0.000 0.000
Ni 0.000 0.000 0.000
Ru 0.500 0.500 0.500

Properties
Its volume is 21.8 Å³ per atom. For the energy above the most stable polymorph in this dataset, the calculation gives 0.000 eV/atom. For the density, the calculation gives 7.59 g/cm3. The density of states at the Fermi level is 3.14 states/eV/f.u. As for the final energy: -2.678 eV/atom. For the calculated formation energy, the calculation gives 20.35 kcal/mol of atoms.

4.
DFT (PBE-GGA) results for crystalline CdNi2Ru at its relaxed geometry.

abc: 8.966 8.966 8.966
angles: 155.29 155.29 35.22
Sites, in units of the cell vectors:
Cd 0.000 0.000 0.000
Cd 0.750 0.250 0.500
Ni 0.165 0.625 0.040
Ni 0.375 0.415 0.540
Ni 0.585 0.125 0.960
Ni 0.875 0.835 0.460
Ru 0.250 0.750 0.500
Ru 0.500 0.500 0.000

Properties
Its volume is 15.7 Å³ per atom. For the density, the calculation gives 8.74 g/cm3. The density of states at the Fermi level is 3.97 states/eV/f.u. As for the final energy: -4.757 eV/atom. For the calculated formation energy, the calculation gives 15.71 kcal/mol of atoms.

5.
DFT (PBE-GGA) results for crystalline Cd2NiRu at its relaxed geometry.

abc: 4.850 4.850 4.850
angles: 130.08 130.08 73.29
Sites, in units of the cell vectors:
Cd 0.250 0.750 0.500
Cd 0.750 0.250 0.500
Ni 0.000 0.000 0.000
Ru 0.500 0.500 0.000

Properties
Its volume is 16.3 Å³ per atom. For the density, the calculation gives 9.80 g/cm3. The density of states at the Fermi level is 5.20 states/eV/f.u. As for the final energy: -3.893 eV/atom. For the calculated formation energy, the calculation gives 7.59 kcal/mol of atoms.

6.
DFT (PBE-GGA) results for crystalline Cd2NiRu at its relaxed geometry.

abc: 4.874 4.874 4.874
angles: 130.61 130.61 72.44
Sites, in units of the cell vectors:
Cd 0.000 0.000 0.000
Cd 0.750 0.250 0.500
Ni 0.250 0.750 0.500
Ru 0.500 0.500 0.000

Properties
Its volume is 16.3 Å³ per atom. For the density, the calculation gives 9.79 g/cm3. The density of states at the Fermi level is 5.48 states/eV/f.u. As for the final energy: -3.886 eV/atom. For the calculated formation energy, the calculation gives 7.74 kcal/mol of atoms.

7.
DFT (PBE-GGA) results for crystalline CdNiRu at its relaxed geometry.

abc: 2.786 2.786 6.663
angles: 90.00 90.00 120.00
Sites, in units of the cell vectors:
Cd 0.000 0.000 0.000
Ni 0.667 0.333 0.342
Ru 0.333 0.667 0.631

Properties
Its volume is 14.9 Å³ per atom. For the energy above the most stable polymorph in this dataset, the calculation gives 0.070 eV/atom. For the density, the calculation gives 10.09 g/cm3. The density of states at the Fermi level is 2.64 states/eV/f.u. As for the final energy: -5.053 eV/atom. For the calculated formation energy, the calculation gives 6.25 kcal/mol of atoms.

8.
DFT (PBE-GGA) results for crystalline CdNi2Ru at its relaxed geometry.

abc: 8.819 8.819 8.819
angles: 17.79 17.79 17.79
Sites, in units of the cell vectors:
Cd 0.000 0.000 0.000
Ni 0.244 0.244 0.244
Ni 0.756 0.756 0.756
Ru 0.500 0.500 0.500

Properties
Its volume is 14.0 Å³ per atom. For the density, the calculation gives 9.83 g/cm3. The density of states at the Fermi level is 5.10 states/eV/f.u. As for the final energy: -5.208 eV/atom. For the calculated formation energy, the calculation gives 5.32 kcal/mol of atoms.

9.
DFT (PBE-GGA) results for crystalline Cd2NiRu at its relaxed geometry.

abc: 9.505 9.505 9.505
angles: 17.30 17.30 17.30
Sites, in units of the cell vectors:
Cd 0.000 0.000 0.000
Cd 0.233 0.233 0.233
Ni 0.747 0.747 0.747
Ru 0.480 0.480 0.480

Properties
Its volume is 16.6 Å³ per atom. For the density, the calculation gives 9.64 g/cm3. The density of states at the Fermi level is 3.14 states/eV/f.u. As for the final energy: -3.975 eV/atom. For the calculated formation energy, the calculation gives 5.70 kcal/mol of atoms.

10.
DFT (PBE-GGA) results for crystalline Cd2NiRu at its relaxed geometry.

abc: 2.940 2.940 7.675
angles: 90.00 90.00 90.00
Sites, in units of the cell vectors:
Cd 0.000 0.000 0.000
Cd 0.500 0.500 0.319
Ni 0.500 0.500 0.763
Ru 0.000 0.000 0.583

Properties
Its volume is 16.6 Å³ per atom. For the density, the calculation gives 9.63 g/cm3. The density of states at the Fermi level is 4.75 states/eV/f.u. As for the final energy: -4.036 eV/atom. For the calculated formation energy, the calculation gives 4.29 kcal/mol of atoms.

11.
DFT (PBE-GGA) results for crystalline CdNi2Ru at its relaxed geometry.

abc: 3.973 3.973 3.547
angles: 90.00 90.00 90.00
Sites, in units of the cell vectors:
Cd 0.000 0.000 0.000
Ni 0.000 0.500 0.500
Ni 0.500 0.000 0.500
Ru 0.500 0.500 0.000

Properties
Its volume is 14.0 Å³ per atom. For the density, the calculation gives 9.81 g/cm3. The density of states at the Fermi level is 7.95 states/eV/f.u. As for the final energy: -5.103 eV/atom. For the calculated formation energy, the calculation gives 7.73 kcal/mol of atoms.

12.
DFT (PBE-GGA) results for crystalline CdNiRu3 at its relaxed geometry.

abc: 4.868 4.868 4.868
angles: 90.00 90.00 90.00
Sites, in units of the cell vectors:
Cd 0.000 0.000 0.000
Ni 0.500 0.500 0.500
Ru 0.000 0.000 0.500
Ru 0.000 0.500 0.000
Ru 0.500 0.000 0.000

Properties
Its volume is 23.1 Å³ per atom. For the energy above the most stable polymorph in this dataset, the calculation gives 1.277 eV/atom. For the density, the calculation gives 6.83 g/cm3. The density of states at the Fermi level is 8.49 states/eV/f.u. As for the final energy: -4.324 eV/atom. For the calculated formation energy, the calculation gives 59.51 kcal/mol of atoms.

Q: Which of these has the lowest final energy?
A: number 1

Please write out number 12 again, unchanged.
DFT (PBE-GGA) results for crystalline CdNiRu3 at its relaxed geometry.

abc: 4.868 4.868 4.868
angles: 90.00 90.00 90.00
Sites, in units of the cell vectors:
Cd 0.000 0.000 0.000
Ni 0.500 0.500 0.500
Ru 0.000 0.000 0.500
Ru 0.000 0.500 0.000
Ru 0.500 0.000 0.000

Properties
Its volume is 23.1 Å³ per atom. For the energy above the most stable polymorph in this dataset, the calculation gives 1.277 eV/atom. For the density, the calculation gives 6.83 g/cm3. The density of states at the Fermi level is 8.49 states/eV/f.u. As for the final energy: -4.324 eV/atom. For the calculated formation energy, the calculation gives 59.51 kcal/mol of atoms.

Please write out number 2 again, unchanged.
DFT (PBE-GGA) results for crystalline CdNi2Ru at its relaxed geometry.

abc: 4.610 4.610 2.688
angles: 90.00 90.00 105.99
Sites, in units of the cell vectors:
Cd 0.000 0.000 0.000
Ni 0.000 0.500 0.500
Ni 0.500 0.000 0.500
Ru 0.500 0.500 0.000

Properties
Its volume is 13.7 Å³ per atom. For the density, the calculation gives 10.01 g/cm3. The density of states at the Fermi level is 5.42 states/eV/f.u. As for the final energy: -5.208 eV/atom. For the calculated formation energy, the calculation gives 5.32 kcal/mol of atoms.

Q: Which value of density does entry 2 give?
A: 10.01 g/cm3